DFT (PBE) results for Ca2BiRhN after structural relaxation.

abc: 5.2543 5.2543 3.8670
angles: 90.00 90.00 90.00
Space group P4/mmm (No. 123)
Inequivalent atoms, fractional coordinates:
Ca: 0.0000 0.5000 0.0000 [2 per cell]
Bi: 0.0000 0.0000 0.5000 [1 per cell]
Rh: 0.5000 0.5000 0.5000 [1 per cell]
N: 0.5000 0.5000 0.0000 [1 per cell]

Spin magnetization, μB/atom: 0.0000
Energy relative to the elements, uncorrected, meV per atom: -615.5
E_tot, eV for the cell shown: -26.6